Hg4B | Alexandria via LeMat-Bulk | PBE-GGA | relaxed; DFT total energy = -5.690 eV for the cell shown; mass density = 11.87 g/cm³; ΔE_f = 0.439 eV/atom
1.0
4.8460 0.0000 0.0000
0.0000 4.8460 0.0000
0.0000 0.0000 4.8460
B Hg
1 4
Direct
0.5000 0.5000 0.5000 B
0.0000 0.0000 0.0000 Hg
0.5000 0.5000 0.0000 Hg
0.5000 0.0000 0.5000 Hg
0.0000 0.5000 0.5000 Hg